# TaTi3Pd12

TaTi3Pd12 after structural relaxation (PBE-GGA, Alexandria).

The space group is P4/mmm (No. 123) and the conventional cell measures 3.940, 3.940 and 15.773 Å, with angles of 90.00, 90.00 and 90.00 degrees. The distinct sites, in fractional coordinates, are Ta at (0.000, 0.000, 0.000), Ti at (0.000, 0.000, 0.255), Ti at (0.000, 0.000, 0.500), Pd at (0.000, 0.500, 0.125), Pd at (0.000, 0.500, 0.375), Pd at (0.500, 0.500, 0.000), Pd at (0.500, 0.500, 0.250) and Pd at (0.500, 0.500, 0.500).

For the volume, the calculation gives 244.9 Å³/cell. For the electronic total energy, the calculation gives -6.67 eV/atom. As for the formation energy: -558 meV per atom. The crystal system is tetragonal.

# Ta3TiPd

Ta3TiPd after structural relaxation (PBE-GGA, Alexandria).

The space group is Imm2 (No. 44) and the conventional cell measures 2.731, 4.799 and 13.503 Å, with angles of 90.00, 90.00 and 90.00 degrees. The distinct sites, in fractional coordinates, are Ta at (0.000, 0.000, 0.000), Ta at (0.000, 0.000, 0.403), Ta at (0.000, 0.500, 0.297), Ti at (0.000, 0.500, 0.700) and Pd at (0.000, 0.500, 0.101).

For the volume, the calculation gives 177.0 Å³/cell. For the electronic total energy, the calculation gives -9.65 eV/atom. As for the formation energy: 78 meV per atom. The crystal system is orthorhombic. The value obtained for the distance to the lowest polymorph of the same formula is 0 meV per atom.

# TaTiPd

TaTiPd after structural relaxation (PBE-GGA, Alexandria).

The space group is P3m1 (No. 156) and the conventional cell measures 4.5982, 4.5982 and 2.7577 Å, with angles of 90.00, 90.00 and 120.00 degrees. The distinct sites, in fractional coordinates, are Ta at (0.0000, 0.0000, 0.0000), Ti at (0.6667, 0.3333, 0.3906) and Pd at (0.3333, 0.6667, 0.7068).

For the volume, the calculation gives 50.5 Å³/cell. For the electronic total energy, the calculation gives -8.33 eV/atom. As for the formation energy: -19 meV per atom. The crystal system is trigonal. The value obtained for the distance to the lowest polymorph of the same formula is 303 meV per atom.

# TaTi7Pd2

TaTi7Pd2 after structural relaxation (PBE-GGA, Alexandria).

The space group is Fm-3m (No. 225) and the conventional cell measures 9.271, 9.271 and 9.271 Å, with angles of 90.00, 90.00 and 90.00 degrees. The distinct sites, in fractional coordinates, are Ta at (0.000, 0.000, 0.000), Ti at (0.000, 0.000, 0.256), Ti at (0.000, 0.000, 0.500) and Pd at (0.250, 0.250, 0.250).

For the volume, the calculation gives 796.8 Å³/cell. For the electronic total energy, the calculation gives -6.84 eV/atom. As for the formation energy: 910 meV per atom. The crystal system is cubic.

Question: The highest electronic total energy belongs to which entry?
Answer: TaTi3Pd12